No. 1
# ZrSiAg2 (PBE, relaxed)
# - VASP energy: -4.774 eV/atom
# - Formation energy (no corrections): 145 meV per atom
data_ZrSiAg2
_chemical_formula_sum 'Zr2 Si2 Ag4'
_space_group_name_H-M_alt 'C m m m'
_space_group_IT_number 65
_space_group_name_Hall '-C 2 2'
_cell_length_a 5.5924
_cell_length_b 9.0595
_cell_length_c 2.9736
_cell_angle_alpha 90.00
_cell_angle_beta 90.00
_cell_angle_gamma 90.00
loop_
_atom_site_label
_atom_site_fract_x
_atom_site_fract_y
_atom_site_fract_z
Zr1 0.0000 0.0000 0.0000
Si1 0.0000 0.5000 0.0000
Ag1 0.2500 0.2500 0.5000



No. 2
# HSeBr2 (PBE, relaxed)
# - VASP energy: -2.565 eV/atom
# - ΔE to the lowest computed polymorph: 0.55 eV/f.u.
data_HSeBr2
_chemical_formula_sum 'H2 Se2 Br4'
_space_group_name_H-M_alt 'P 1'
_space_group_IT_number 1
_space_group_name_Hall 'P 1'
_cell_length_a 5.7590
_cell_length_b 7.3825
_cell_length_c 7.5124
_cell_angle_alpha 106.91
_cell_angle_beta 110.87
_cell_angle_gamma 105.58
loop_
_atom_site_label
_atom_site_fract_x
_atom_site_fract_y
_atom_site_fract_z
H1 0.0000 0.0000 0.0000
H2 0.4020 0.1310 0.8189
Se1 0.3101 0.9464 0.6152
Se2 0.5074 0.1405 0.4668
Br1 0.1617 0.3470 0.1976
Br2 0.6659 0.3605 0.1929
Br3 0.7883 0.9643 0.4249
Br4 0.9191 0.7770 0.8774